# KNa2Se (GGA-PBE, relaxed)
data_KNa2Se
_chemical_formula_sum 'K3 Na6 Se3'
_symmetry_space_group_name_H-M 'R -3 m'
_symmetry_Int_Tables_number 166
_symmetry_space_group_name_Hall '-R 3 2"'
_cell_length_a 4.6923
_cell_length_b 4.6923
_cell_length_c 25.3915
_cell_angle_alpha 90.00
_cell_angle_beta 90.00
_cell_angle_gamma 120.00
loop_
_atom_site_label
_atom_site_fract_x
_atom_site_fract_y
_atom_site_fract_z
K1 0.0000 0.0000 0.0000
Na1 0.0000 0.0000 0.2058
Se1 0.0000 0.0000 0.5000
# DFT total energy, eV per cell: -29.48
# Formation energy without anion corrections, eV per atom: -0.651